No. 1
VASP calculation (GGA-PBE) on an optimized crystal structure of Zr2TlTe.

## Properties
* uncorrected energy: -23.6 eV for the cell shown
* symmetry: Immm (71)
* total magnetization: 0.00 μB per cell

Geometry as POSCAR:
```
Zr2TlTe
1.0
-2.053 -4.772 -1.165
1.819 -0.599 -4.968
2.488 0.784 4.641
Te Tl Zr
1 1 2
Direct
0.750 0.250 0.500 Te
0.250 0.750 0.500 Tl
0.990 0.990 0.000 Zr
0.510 0.510 0.000 Zr
```

No. 2
VASP calculation (GGA-PBE) on an optimized crystal structure of Ho3ZnTe.

## Properties
* uncorrected energy: -42.3 eV for the cell shown
* symmetry: C2/m (12)
* total magnetization: 0.00 μB per cell

Geometry as POSCAR:
```
Ho3ZnTe
1.0
-2.695 -1.142 -2.712
-0.794 -5.310 3.026
-6.354 6.535 6.496
Ho Zn Te
6 2 2
Direct
0.999 0.245 0.998 Ho
0.001 0.755 0.002 Ho
0.370 0.936 0.741 Ho
0.630 0.064 0.259 Ho
0.195 0.596 0.391 Ho
0.805 0.404 0.609 Ho
0.768 0.885 0.537 Zn
0.232 0.115 0.463 Zn
0.587 0.543 0.174 Te
0.413 0.457 0.826 Te
```

No. 3
VASP calculation (GGA-PBE) on an optimized crystal structure of Hf5Be3Al12.

## Properties
* uncorrected energy: -364.3 eV for the cell shown
* symmetry: Ia-3d (230)
* total magnetization: 0.00 μB per cell

Geometry as POSCAR:
```
Hf5Be3Al12
1.0
-10.015 -4.073 7.663
6.981 -10.494 -4.093
7.862 8.101 6.941
Be Hf Al
12 20 48
Direct
0.750 0.375 0.125 Be
0.875 0.750 0.125 Be
0.375 0.750 0.625 Be
0.250 0.125 0.375 Be
0.875 0.125 0.250 Be
0.375 0.625 0.250 Be
0.625 0.375 0.750 Be
0.125 0.875 0.750 Be
0.750 0.875 0.625 Be
0.625 0.250 0.375 Be
0.125 0.250 0.875 Be
0.250 0.625 0.875 Be
0.125 0.375 0.250 Hf
0.000 0.500 0.000 Hf
0.000 0.000 0.000 Hf
0.375 0.250 0.125 Hf
0.500 0.000 0.500 Hf
0.500 0.500 0.000 Hf
0.125 0.750 0.375 Hf
0.750 0.125 0.875 Hf
0.750 0.625 0.375 Hf
0.375 0.125 0.750 Hf
0.625 0.875 0.250 Hf
0.500 0.500 0.500 Hf
0.500 0.000 0.000 Hf
0.000 0.000 0.500 Hf
0.250 0.375 0.625 Hf
0.250 0.875 0.125 Hf
0.000 0.500 0.500 Hf
0.875 0.250 0.625 Hf
0.625 0.750 0.875 Hf
0.875 0.625 0.750 Hf
0.746 0.133 0.088 Al
0.342 0.588 0.455 Al
0.912 0.367 0.254 Al
0.588 0.246 0.133 Al
0.613 0.746 0.658 Al
0.912 0.545 0.158 Al
0.342 0.754 0.387 Al
0.045 0.887 0.133 Al
0.545 0.912 0.658 Al
0.746 0.613 0.158 Al
0.754 0.412 0.367 Al
0.842 0.955 0.088 Al
0.133 0.746 0.588 Al
0.367 0.455 0.113 Al
0.113 0.955 0.367 Al
0.387 0.133 0.545 Al
0.113 0.158 0.246 Al
0.412 0.658 0.045 Al
0.842 0.887 0.254 Al
0.133 0.387 0.045 Al
0.367 0.912 0.754 Al
0.545 0.633 0.387 Al
0.955 0.842 0.588 Al
0.754 0.342 0.887 Al
0.455 0.367 0.613 Al
0.045 0.158 0.412 Al
0.246 0.658 0.113 Al
0.158 0.113 0.746 Al
0.633 0.088 0.246 Al
0.867 0.613 0.955 Al
0.588 0.342 0.955 Al
0.613 0.867 0.455 Al
0.887 0.842 0.754 Al
0.887 0.045 0.633 Al
0.867 0.254 0.412 Al
0.158 0.045 0.912 Al
0.633 0.545 0.887 Al
0.455 0.088 0.342 Al
0.254 0.387 0.842 Al
0.246 0.588 0.633 Al
0.955 0.113 0.867 Al
0.658 0.246 0.613 Al
0.412 0.754 0.867 Al
0.088 0.455 0.842 Al
0.387 0.254 0.342 Al
0.088 0.633 0.746 Al
0.658 0.412 0.545 Al
0.254 0.867 0.912 Al
```